Record 1
The following is a PBE calculation of crystalline Rb5Te2I12 at its relaxed geometry, from Alexandria.

Geometry as extended XYZ:
```
19
Lattice="8.533 0.000 -4.487 -2.075 10.207 -3.946 0.878 -2.397 12.027" Properties=species:S:1:pos:R:3 pbc="T T T"
Rb -1.038 5.103 -1.973
Rb 6.468 -0.361 1.944
Rb 2.522 3.035 4.797
Rb 0.867 8.171 1.649
Rb 4.813 4.775 -1.203
I 8.757 -1.010 6.297
I 1.237 0.803 7.326
I 5.335 0.803 5.171
I 2.768 8.638 -5.092
I -1.422 8.820 -2.703
I -0.077 5.879 4.939
I 7.413 1.931 -1.346
I 6.099 7.007 -3.732
I 2.001 7.007 -1.578
I 4.113 5.879 2.736
I 4.567 -0.828 8.686
I 3.223 1.931 0.858
Te 5.206 7.810 4.714
Te 2.130 0.000 -1.120
```

Calculated values
Symmetry = No. 12
Calculated volume = 984.64 Å³ per cell
Final energy = -2.34 eV per atom


Record 2
The following is a PBE calculation of crystalline Sc2PtBr at its relaxed geometry, from Alexandria.

Geometry as extended XYZ:
```
4
Lattice="-2.197 -2.880 -4.156 1.035 -3.442 -4.180 -0.609 -3.622 2.828" Properties=species:S:1:pos:R:3 pbc="T T T"
Sc -1.254 -7.013 -4.489
Sc -1.230 -6.733 -7.932
Br -0.955 -5.386 -2.354
Pt -0.380 -2.107 -1.825
```

Calculated values
Symmetry = No. 8
Calculated volume = 80.05 Å³ per cell
E above lowest polymorph = 268 meV per atom


Record 3
The following is a PBE calculation of crystalline AcTb3Pm2 at its relaxed geometry, from Alexandria.

Geometry as extended XYZ:
```
6
Lattice="-1.610 -1.094 -2.929 2.437 -5.657 0.774 -8.267 0.718 6.386" Properties=species:S:1:pos:R:3 pbc="T T T"
Tb -3.017 -1.021 2.039
Tb 1.218 -2.828 0.387
Tb -4.423 -5.012 2.191
Pm -5.638 -1.908 3.811
Pm -1.802 -4.125 0.420
Ac 0.000 0.000 0.000
```

Calculated values
Symmetry = No. 71
Energy of formation from the pure elements = 381 meV per atom
Calculated volume = 214.90 Å³ per cell
E above lowest polymorph = 129 meV per atom


Record 4
The following is a PBE calculation of crystalline TbPr2Dy3Tm6 at its relaxed geometry, from Alexandria.

Geometry as extended XYZ:
```
12
Lattice="6.146 0.001 0.007 -3.070 5.324 0.007 -1.034 -1.790 11.505" Properties=species:S:1:pos:R:3 pbc="T T T"
Tb 0.000 0.000 0.000
Tm 2.052 3.553 2.924
Tm -0.010 -0.018 8.594
Tm 2.044 -0.001 2.915
Tm -1.022 1.770 2.915
Tm -0.003 3.536 8.603
Tm 3.064 1.765 8.603
Pr 0.002 3.549 0.007
Pr 3.073 1.776 0.007
Dy 4.093 -0.007 5.759
Dy 1.021 1.767 5.759
Dy -2.052 3.542 5.759
```

Calculated values
Symmetry = No. 12
Energy of formation from the pure elements = 23 meV per atom
Calculated volume = 376.61 Å³ per cell


Record 5
The following is a PBE calculation of crystalline Nd4AlTe at its relaxed geometry, from Alexandria.

Geometry as extended XYZ:
```
12
Lattice="6.056 0.469 0.000 -2.421 7.374 0.000 0.000 0.000 9.269" Properties=species:S:1:pos:R:3 pbc="T T T"
Te 0.397 0.784 2.317
Te 3.238 7.059 6.951
Nd 5.294 2.318 5.127
Nd 5.294 2.318 8.776
Nd 3.453 0.429 2.317
Nd 1.364 3.929 2.317
Nd 2.271 3.914 6.951
Nd -1.659 5.525 0.493
Nd 0.182 7.414 6.951
Nd -1.659 5.525 4.141
Al -0.757 4.320 6.951
Al 4.392 3.524 2.317
```

Calculated values
Symmetry = No. 11
Calculated volume = 424.45 Å³ per cell
Final energy = -4.64 eV per atom


Record 6
The following is a PBE calculation of crystalline PuNpPd14 at its relaxed geometry, from Alexandria.

Geometry as extended XYZ:
```
16
Lattice="-0.696 1.451 -5.596 5.029 -2.628 -1.307 -3.826 -6.694 -1.260" Properties=species:S:1:pos:R:3 pbc="T T T"
Pd -0.636 -3.063 -6.017
Pd -0.405 -1.788 -1.160
Pd 1.625 -0.441 -2.589
Pd 1.776 -2.381 -4.636
Pd 2.127 -3.112 -1.818
Pd 1.277 0.284 -5.387
Pd 0.180 -6.519 -2.459
Pd 3.791 -1.030 -6.040
Pd -0.756 -1.057 -3.978
Pd 4.139 -1.756 -3.242
Pd -2.704 -4.464 -4.619
Pd 2.226 -5.103 -3.872
Pd -0.171 -5.788 -5.277
Pd -2.353 -5.195 -1.801
Pu -0.288 -3.788 -3.219
Np 1.878 -4.377 -6.670
```

Calculated values
Symmetry = No. 123
Energy of formation from the pure elements = -264 meV per atom
Calculated volume = 264.87 Å³ per cell


Record 7
The following is a PBE calculation of crystalline Rb2ZrNCl6 at its relaxed geometry, from Alexandria.

Geometry as extended XYZ:
```
10
Lattice="-3.880 6.771 2.157 -3.876 0.043 -7.108 -7.223 0.914 -0.667" Properties=species:S:1:pos:R:3 pbc="T T T"
N -3.878 3.407 -2.476
Rb -7.488 2.182 -5.125
Rb -7.490 5.546 -0.493
Cl -3.877 1.517 -5.079
Cl -9.582 5.452 -3.964
Cl -5.396 2.275 -1.655
Cl -3.879 5.297 0.128
Cl -6.057 5.322 -3.867
Cl -1.698 1.492 -1.084
Zr 0.000 0.000 0.000
```

Calculated values
Symmetry = No. 139
Calculated volume = 298.04 Å³ per cell
Final energy = -4.06 eV per atom


Record 8
The following is a PBE calculation of crystalline ScTeOs2 at its relaxed geometry, from Alexandria.

Geometry as extended XYZ:
```
4
Lattice="-0.197 0.989 -4.592 0.139 -3.001 -0.652 -5.022 -0.038 0.207" Properties=species:S:1:pos:R:3 pbc="T T T"
Sc -1.319 -0.265 -2.407
Os 0.011 -2.700 -0.582
Os -2.313 -1.821 -0.293
Te -3.761 -1.785 -2.630
```

Calculated values
Symmetry = No. 10
Calculated volume = 72.57 Å³ per cell
Final energy = -7.70 eV per atom


Record 9
The following is a PBE calculation of crystalline TmSc2Se at its relaxed geometry, from Alexandria.

Geometry as extended XYZ:
```
4
Lattice="3.627 0.000 0.000 1.814 3.141 0.000 1.814 1.047 8.713" Properties=species:S:1:pos:R:3 pbc="T T T"
Sc 1.814 1.047 7.015
Sc 1.814 1.047 1.692
Tm 3.627 2.094 4.357
Se 3.627 2.094 0.005
```

Calculated values
Symmetry = No. 160
Calculated volume = 99.29 Å³ per cell
E above lowest polymorph = 56 meV per atom


Record 10
The following is a PBE calculation of crystalline Zr3HgPb at its relaxed geometry, from Alexandria.

Geometry as extended XYZ:
```
5
Lattice="-5.239 1.054 0.558 -0.344 -3.743 3.839 1.142 3.708 3.717" Properties=species:S:1:pos:R:3 pbc="T T T"
Zr -0.172 -1.872 1.920
Zr -2.619 0.527 0.279
Zr 0.571 1.854 1.859
Pb 0.000 0.000 0.000
Hg -2.221 0.509 4.057
```

Calculated values
Symmetry = No. 221
Energy of formation from the pure elements = 1038 meV per atom
Calculated volume = 155.10 Å³ per cell
E above lowest polymorph = 293 meV per atom


Record 11
The following is a PBE calculation of crystalline LiYZn2 at its relaxed geometry, from Alexandria.

Geometry as extended XYZ:
```
4
Lattice="-0.682 -2.836 -1.547 1.455 -1.722 2.515 -4.579 -2.045 5.766" Properties=species:S:1:pos:R:3 pbc="T T T"
Li -1.122 -2.359 1.297
Y -2.684 -4.243 5.437
Zn -1.296 -1.870 3.999
Zn 1.189 -1.735 2.657
```

Calculated values
Symmetry = No. 10
Energy of formation from the pure elements = -216 meV per atom
Calculated volume = 76.51 Å³ per cell


Record 12
The following is a PBE calculation of crystalline KFeIr2 at its relaxed geometry, from Alexandria.

Geometry as extended XYZ:
```
4
Lattice="-0.554 -1.514 -2.193 0.181 -3.129 2.115 -7.533 0.580 1.502" Properties=species:S:1:pos:R:3 pbc="T T T"
Ir -7.465 0.574 1.489
Ir -1.457 -2.224 0.214
K -3.728 0.287 0.743
Fe -6.555 -1.831 1.231
```

Calculated values
Symmetry = No. 25
Energy of formation from the pure elements = 547 meV per atom
Calculated volume = 79.26 Å³ per cell
E above lowest polymorph = 106 meV per atom


Record 13
The following is a PBE calculation of crystalline HfZr3Sn at its relaxed geometry, from Alexandria.

Geometry as extended XYZ:
```
20
Lattice="-0.246 -0.992 -7.641 -6.009 -4.941 0.834 -5.448 5.588 -0.551" Properties=species:S:1:pos:R:3 pbc="T T T"
Zr -6.920 0.595 -4.566
Zr -2.820 1.691 -1.603
Zr -10.476 0.796 -4.479
Zr -6.884 -0.530 -0.532
Zr -4.783 -0.940 -2.793
Zr -4.819 0.186 -6.827
Zr -10.439 -0.329 -0.445
Zr -1.264 -0.016 -6.914
Zr -8.883 -2.036 -5.756
Zr -8.578 1.894 -2.387
Zr -3.126 -2.239 -4.971
Zr -1.227 -1.140 -2.880
Hf -8.762 -1.180 -2.895
Hf -2.951 -1.150 -0.317
Hf -2.941 0.835 -4.464
Hf -8.752 0.806 -7.042
Sn -5.970 -3.303 -1.325
Sn -5.733 2.958 -6.034
Sn -6.014 -2.306 -5.342
Sn -5.690 1.962 -2.017
```

Calculated values
Symmetry = No. 15
Energy of formation from the pure elements = -36 meV per atom
Calculated volume = 470.54 Å³ per cell
E above lowest polymorph = 150 meV per atom


Record 14
The following is a PBE calculation of crystalline Ba4MgNb3O12 at its relaxed geometry, from Alexandria.

Geometry as extended XYZ:
```
20
Lattice="7.188 0.000 0.000 -2.396 6.777 0.000 -2.396 -3.389 5.869" Properties=species:S:1:pos:R:3 pbc="T T T"
O -1.198 3.389 2.935
O 1.198 -0.847 4.402
O 1.198 4.236 1.467
O -3.548 2.509 4.345
O 3.548 -2.509 4.345
O 3.548 5.017 0.000
O 3.594 0.000 2.935
O -1.198 0.847 4.402
O 1.244 1.760 0.000
O 1.244 -0.880 1.524
O -1.244 0.880 1.524
O 3.594 2.541 1.467
Nb -2.396 1.694 2.935
Nb 2.396 3.389 0.000
Nb 2.396 -1.694 2.935
Ba -1.198 -1.694 2.935
Ba 3.594 0.000 0.000
Ba -1.198 3.389 0.000
Ba 1.198 1.694 2.935
Mg 0.000 0.000 0.000
```

Calculated values
Symmetry = No. 229
Calculated volume = 285.91 Å³ per cell
Final energy = -7.76 eV per atom


Record 15
The following is a PBE calculation of crystalline Zr2Ta2Ti at its relaxed geometry, from Alexandria.

Geometry as extended XYZ:
```
10
Lattice="7.369 0.000 0.000 0.000 7.369 0.000 0.000 0.000 3.865" Properties=species:S:1:pos:R:3 pbc="T T T"
Ti 0.000 0.000 0.000
Ti 3.685 3.685 0.000
Ta 4.678 0.994 0.000
Ta 6.375 4.678 0.000
Ta 0.994 2.691 0.000
Ta 2.691 6.375 0.000
Zr 4.908 6.146 1.932
Zr 2.461 1.223 1.932
Zr 1.223 4.908 1.932
Zr 6.146 2.461 1.932
```

Calculated values
Symmetry = No. 127
Energy of formation from the pure elements = 301 meV per atom
Calculated volume = 209.88 Å³ per cell


Record 16
The following is a PBE calculation of crystalline SrReSe2 at its relaxed geometry, from Alexandria.

Geometry as extended XYZ:
```
4
Lattice="4.940 0.001 0.005 -0.001 4.940 0.005 -0.005 -0.005 3.353" Properties=species:S:1:pos:R:3 pbc="T T T"
Sr 2.468 -0.002 1.679
Re -0.003 2.468 1.679
Se 0.000 0.000 0.000
Se 2.469 2.471 0.005
```

Calculated values
Symmetry = No. 123
Calculated volume = 81.84 Å³ per cell
E above lowest polymorph = 533 meV per atom


Record 17
The following is a PBE calculation of crystalline CaAl3Pt3 at its relaxed geometry, from Alexandria.

Geometry as extended XYZ:
```
14
Lattice="6.828 0.000 0.000 0.000 6.828 0.000 0.000 0.000 6.828" Properties=species:S:1:pos:R:3 pbc="T T T"
Al 3.414 1.707 0.000
Al 0.000 3.414 1.707
Al 3.414 5.121 0.000
Al 0.000 3.414 5.121
Al 5.121 0.000 3.414
Al 1.707 0.000 3.414
Pt 5.121 3.414 0.000
Pt 3.414 0.000 5.121
Pt 1.707 3.414 0.000
Pt 0.000 5.121 3.414
Pt 3.414 0.000 1.707
Pt 0.000 1.707 3.414
Ca 0.000 0.000 0.000
Ca 3.414 3.414 3.414
```

Calculated values
Symmetry = No. 223
Energy of formation from the pure elements = -649 meV per atom
Calculated volume = 318.37 Å³ per cell


Record 18
The following is a PBE calculation of crystalline ScGaAg2H at its relaxed geometry, from Alexandria.

Geometry as extended XYZ:
```
5
Lattice="4.290 0.000 0.000 0.000 4.290 0.000 0.000 0.000 4.201" Properties=species:S:1:pos:R:3 pbc="T T T"
H 0.000 0.000 0.000
Sc 0.000 0.000 2.101
Ag 2.145 0.000 0.000
Ag 0.000 2.145 0.000
Ga 2.145 2.145 2.101
```

Calculated values
Symmetry = No. 123
Calculated volume = 77.30 Å³ per cell
Final energy = -3.82 eV per atom


Record 19
The following is a PBE calculation of crystalline TeBr at its relaxed geometry, from Alexandria.

Geometry as extended XYZ:
```
8
Lattice="-1.824 2.771 -3.824 -2.965 -3.394 2.306 -3.978 9.386 8.698" Properties=species:S:1:pos:R:3 pbc="T T T"
Br -3.033 -0.282 1.242
Br -4.126 2.297 3.632
Br -4.641 6.465 3.547
Br -5.735 9.045 5.938
Te -3.199 3.062 0.394
Te -0.995 2.346 2.175
Te -5.569 5.700 6.786
Te -2.984 7.039 6.524
```

Calculated values
Symmetry = No. 194
Calculated volume = 297.43 Å³ per cell
Final energy = -2.18 eV per atom


Record 20
The following is a PBE calculation of crystalline SrZrN2F at its relaxed geometry, from Alexandria.

Geometry as extended XYZ:
```
5
Lattice="4.520 0.000 0.000 0.000 4.520 0.000 0.000 0.000 4.215" Properties=species:S:1:pos:R:3 pbc="T T T"
F 0.000 0.000 2.107
N 0.000 2.260 0.000
N 2.260 0.000 0.000
Sr 0.000 0.000 0.000
Zr 2.260 2.260 2.107
```

Calculated values
Symmetry = No. 123
Calculated volume = 86.12 Å³ per cell
E above lowest polymorph = 1882 meV per atom